# 1
This record from Alexandria describes crystalline SmLuMgZr at its relaxed geometry. The functional is PBE.

Cell lengths 7.5594, 7.5594, 7.5594 Å; angles 90.00, 90.00, 90.00 degrees
Closest atoms and distances in Å follow each position.
Space group F-43m (No. 216)
Unique sites:
Sm: 0.0000 0.0000 0.0000 (multiplicity 4)  4 Zr 3.27, 4 Mg 3.27
Lu: 0.0000 0.0000 0.5000 (multiplicity 4)  4 Mg 3.27, 4 Zr 3.27
Mg: 0.2500 0.2500 0.7500 (multiplicity 4)  4 Sm 3.27, 4 Lu 3.27
Zr: 0.2500 0.2500 0.2500 (multiplicity 4)  4 Sm 3.27, 4 Lu 3.27

Calculated values
As for the formation energy: 0.139 eV/atom.

***

# 2
This record from Alexandria describes crystalline PmCdGaPd3 at its relaxed geometry. The functional is PBE.

Cell lengths 7.0103, 12.2949, 5.7983 Å; angles 90.00, 90.00, 90.00 degrees
Closest atoms and distances in Å follow each position.
Space group Cmcm (No. 63)
Unique sites:
Pm: 0.0000 0.1883 0.2500 (multiplicity 4)  2 Ga 2.99, 1 Cd 3.05, 4 Pd 3.06
Cd: 0.0000 0.4363 0.2500 (multiplicity 4)  5 Pd 2.68-2.85
Ga: 0.0000 0.1305 0.7500 (multiplicity 4)  5 Pd 2.48-2.57
Pd: 0.0000 0.3322 0.7500 (multiplicity 4)  1 Ga 2.48
Pd: 0.1977 0.0000 0.0000 (multiplicity 8)  2 Ga 2.57, 2 Cd 2.68, 1 Pd 2.77

Calculated values
As for the formation energy: -0.455 eV/atom.

***

# 3
This record from Alexandria describes crystalline PuScIrAu at its relaxed geometry. The functional is PBE.

Cell lengths 6.8690, 6.8690, 6.8690 Å; angles 90.00, 90.00, 90.00 degrees
Closest atoms and distances in Å follow each position.
Space group F-43m (No. 216)
Unique sites:
Pu: 0.0000 0.0000 0.0000 (multiplicity 4)  4 Au 2.97, 4 Ir 2.97
Sc: 0.0000 0.0000 0.5000 (multiplicity 4)  4 Ir 2.97, 4 Au 2.97
Ir: 0.2500 0.2500 0.2500 (multiplicity 4)  4 Sc 2.97, 4 Pu 2.97
Au: 0.2500 0.2500 0.7500 (multiplicity 4)  4 Sc 2.97, 4 Pu 2.97

Calculated values
As for the formation energy: -0.543 eV/atom.

***

# 4
This record from Alexandria describes crystalline Tb6PmEr2 at its relaxed geometry. The functional is PBE.

Cell lengths 12.7857, 14.1895, 6.5797 Å; angles 90.00, 103.53, 90.00 degrees
Closest atoms and distances in Å follow each position.
Space group C2/c (No. 15)
Unique sites:
Tb: 0.0358 0.1841 0.0022 (multiplicity 8)  5 Tb 3.23-3.59, 1 Pm 3.29, 3 Er 3.35-3.45
Tb: 0.1355 0.4135 0.8212 (multiplicity 8)  3 Tb 3.37-3.44, 2 Pm 3.40-3.67, 2 Er 3.49-3.50
Tb: 0.2385 0.2007 0.7264 (multiplicity 8)  6 Tb 3.37-3.50, 2 Er 3.48-3.62, 1 Pm 3.50
Pm: 0.0000 0.3783 0.2500 (multiplicity 4)  8 Tb 3.29-3.67
Er: 0.1399 0.0235 0.3661 (multiplicity 8)  7 Tb 3.35-3.62, 3 Er 3.36-3.55

Calculated values
As for the formation energy: 0.106 eV/atom.

***

# 5
This record from Alexandria describes crystalline In3BiSe4 at its relaxed geometry. The functional is PBE.

Cell lengths 12.0009, 6.0394, 6.0447 Å; angles 90.00, 90.00, 90.00 degrees
Closest atoms and distances in Å follow each position.
Space group Pmn2_1 (No. 31)
Unique sites:
In: 0.0000 0.2474 0.0000 (multiplicity 2)  6 Se 2.99-3.05
In: 0.2503 0.2530 0.4999 (multiplicity 4)  6 Se 3.00-3.03
Bi: 0.0000 0.7658 0.5043 (multiplicity 2)  6 Se 2.93-3.11
Se: 0.0000 0.2505 0.4984 (multiplicity 2)  2 Bi 2.93-3.11, 4 In 3.00-3.03
Se: 0.0000 0.7429 0.9992 (multiplicity 2)  4 In 2.99-3.05, 2 Bi 2.99-3.06
Se: 0.2456 0.7522 0.4994 (multiplicity 4)  1 Bi 2.95, 5 In 3.02-3.05

Calculated values
The formation energy (no corrections) comes out at -0.36 eV per atom.

***

# 6
This record from Alexandria describes crystalline BaSrZn2Cl8 at its relaxed geometry. The functional is PBE.

Cell lengths 6.5382, 6.5382, 9.7360 Å; angles 90.00, 90.00, 120.00 degrees
Closest atoms and distances in Å follow each position.
Space group P-3 (No. 147)
Unique sites:
Ba: 0.0000 0.0000 0.0000 (multiplicity 1)  12 Cl 3.51-3.78
Sr: 0.0000 0.0000 0.5000 (multiplicity 1)  6 Cl 2.90
Zn: 0.3333 0.6667 0.7730 (multiplicity 2)  4 Cl 2.26-2.28
Cl: 0.0087 0.3204 0.7087 (multiplicity 6)  1 Zn 2.28
Cl: 0.3333 0.6667 0.0050 (multiplicity 2)  1 Zn 2.26

Calculated values
The formation energy (no corrections) comes out at -1.77 eV per atom.

***

# 7
This record from Alexandria describes crystalline UAs3Pd at its relaxed geometry. The functional is PBE.

Cell lengths 11.9499, 5.7266, 5.6842 Å; angles 90.00, 90.00, 90.00 degrees
Closest atoms and distances in Å follow each position.
Space group Pbcm (No. 57)
Unique sites:
U: 0.1876 0.0082 0.2500 (multiplicity 4)  9 As 2.88-3.03
As: 0.0008 0.7500 0.0000 (multiplicity 4)  4 As 2.84-2.86, 4 U 3.00-3.03
As: 0.2451 0.5126 0.2500 (multiplicity 4)  2 Pd 2.79, 4 U 2.92-2.97, 1 As 3.07
As: 0.4224 0.1239 0.2500 (multiplicity 4)  4 Pd 2.55-2.57
Pd: 0.4108 0.7500 0.0000 (multiplicity 4)  6 As 2.55-2.79, 2 Pd 2.84

Calculated values
As for the formation energy: -0.483 eV/atom.

***

# 8
This record from Alexandria describes crystalline Ni2PdRu at its relaxed geometry. The functional is PBE.

Cell lengths 3.8007, 3.8007, 3.5531 Å; angles 90.00, 90.00, 90.00 degrees
Closest atoms and distances in Å follow each position.
Space group P4/mmm (No. 123)
Unique sites:
Ni: 0.0000 0.5000 0.0000 (multiplicity 2)  4 Ru 2.60, 4 Pd 2.60, 4 Ni 2.69
Pd: 0.0000 0.0000 0.5000 (multiplicity 1)  8 Ni 2.60, 4 Ru 2.69
Ru: 0.5000 0.5000 0.5000 (multiplicity 1)  8 Ni 2.60, 4 Pd 2.69

Calculated values
As for the formation energy: 0.199 eV/atom.

***

# 9
This record from Alexandria describes crystalline Mn2CoAg at its relaxed geometry. The functional is PBE.

Cell lengths 2.9132, 2.9132, 6.7599 Å; angles 90.00, 90.00, 90.00 degrees
Closest atoms and distances in Å follow each position.
Space group P4/mmm (No. 123)
Unique sites:
Mn: 0.0000 0.0000 0.2104 (multiplicity 2)  4 Co 2.50
Co: 0.5000 0.5000 0.0000 (multiplicity 1)  8 Mn 2.50
Ag: 0.5000 0.5000 0.5000 (multiplicity 1)  8 Mn 2.84, 4 Ag 2.91

Calculated values
As for the formation energy: 0.166 eV/atom.

***

# 10
This record from Alexandria describes crystalline Y2In2Sn at its relaxed geometry. The functional is PBE.

Cell lengths 7.9534, 7.9534, 4.6245 Å; angles 90.00, 90.00, 90.00 degrees
Closest atoms and distances in Å follow each position.
Space group P4/mbm (No. 127)
Unique sites:
Y: 0.1574 0.3426 0.0000 (multiplicity 4)  2 Sn 3.00, 6 In 3.21-3.34
In: 0.1448 0.6448 0.5000 (multiplicity 4)  6 Y 3.21-3.34, 1 In 3.26
Sn: 0.0000 0.0000 0.0000 (multiplicity 2)  4 Y 3.00

Calculated values
As for the formation energy: -0.308 eV/atom.

***

# 11
This record from Alexandria describes crystalline LiAlInAg at its relaxed geometry. The functional is PBE.

Cell lengths 6.6287, 6.6287, 6.6287 Å; angles 90.00, 90.00, 90.00 degrees
Closest atoms and distances in Å follow each position.
Space group F-43m (No. 216)
Unique sites:
Li: 0.0000 0.0000 0.0000 (multiplicity 4)  4 Ag 2.87, 4 In 2.87
Al: 0.0000 0.0000 0.5000 (multiplicity 4)  4 In 2.87, 4 Ag 2.87
In: 0.2500 0.2500 0.2500 (multiplicity 4)  4 Li 2.87, 4 Al 2.87
Ag: 0.2500 0.2500 0.7500 (multiplicity 4)  4 Al 2.87, 4 Li 2.87

Calculated values
As for the formation energy: -0.111 eV/atom.

***

# 12
This record from Alexandria describes crystalline Li2BePd5 at its relaxed geometry. The functional is PBE.

Cell lengths 5.2981, 10.0416, 4.0228 Å; angles 90.00, 90.00, 90.00 degrees
Closest atoms and distances in Å follow each position.
Space group Pbam (No. 55)
Unique sites:
Li: 0.1521 0.1374 0.0000 (multiplicity 4)  8 Pd 2.51-2.77
Be: 0.0000 0.5000 0.5000 (multiplicity 2)  6 Pd 2.34-2.44
Pd: 0.0000 0.0000 0.5000 (multiplicity 2)  4 Li 2.57, 2 Be 2.65, 6 Pd 2.83-2.86
Pd: 0.1166 0.7251 0.5000 (multiplicity 4)  1 Be 2.34, 2 Li 2.51
Pd: 0.1702 0.3962 0.0000 (multiplicity 4)  2 Be 2.44, 3 Li 2.58-2.60

Calculated values
As for the formation energy: -0.401 eV/atom.

***

# 13
This record from Alexandria describes crystalline BaCr2P at its relaxed geometry. The functional is PBE.

Cell lengths 4.5197, 4.5197, 4.7012 Å; angles 90.00, 90.00, 90.00 degrees
Closest atoms and distances in Å follow each position.
Space group P4/mmm (No. 123)
Unique sites:
Ba: 0.0000 0.0000 0.0000 (multiplicity 1)  4 P 3.20, 8 Cr 3.26
Cr: 0.0000 0.5000 0.5000 (multiplicity 2)  4 Cr 3.20, 4 Ba 3.26, 4 P 3.26
P: 0.5000 0.5000 0.0000 (multiplicity 1)  4 Ba 3.20, 8 Cr 3.26

Calculated values
As for the formation energy: 0.712 eV/atom.

***

# 14
This record from Alexandria describes crystalline ZrZn8Co4 at its relaxed geometry. The functional is PBE.

Cell lengths 8.5235, 8.5235, 4.9634 Å; angles 90.00, 90.00, 90.00 degrees
Closest atoms and distances in Å follow each position.
Space group I4/mmm (No. 139)
Unique sites:
Zr: 0.0000 0.0000 0.0000 (multiplicity 2)  12 Zn 2.87-3.10
Zn: 0.0000 0.2185 0.5000 (multiplicity 8)  4 Co 2.48, 6 Zn 2.63-2.77
Zn: 0.0000 0.3372 0.0000 (multiplicity 8)  4 Co 2.58, 5 Zn 2.68-2.78, 1 Zr 2.87
Co: 0.2500 0.2500 0.2500 (multiplicity 8)  8 Zn 2.48-2.58, 2 Co 2.48

Calculated values
As for the formation energy: -0.119 eV/atom.

***

# 15
This record from Alexandria describes crystalline LiReP2 at its relaxed geometry. The functional is PBE.

Cell lengths 3.2805, 3.2805, 4.9010 Å; angles 90.00, 90.00, 90.00 degrees
Closest atoms and distances in Å follow each position.
Space group P4mm (No. 99)
Unique sites:
Li: 0.0000 0.0000 0.0000 (multiplicity 1)  6 P 2.44-2.47
Re: 0.5000 0.5000 0.6798 (multiplicity 1)  6 P 2.42-2.48
P: 0.0000 0.0000 0.4986 (multiplicity 1)  2 Li 2.44-2.46, 4 Re 2.48
P: 0.5000 0.5000 0.1731 (multiplicity 1)  2 Re 2.42-2.48, 4 Li 2.47

Calculated values
As for the formation energy: -0.004 eV/atom.

***

# 16
This record from Alexandria describes crystalline Li3Zr2US6 at its relaxed geometry. The functional is PBE.

Cell lengths 6.3790, 11.0348, 6.6509 Å; angles 90.00, 108.55, 90.00 degrees
Closest atoms and distances in Å follow each position.
Space group C2/m (No. 12)
Unique sites:
Li: 0.0000 0.0000 0.0000 (multiplicity 2)  6 S 2.59-2.66
Li: 0.0000 0.3330 0.0000 (multiplicity 4)  6 S 2.59-2.65
Zr: 0.0000 0.1661 0.5000 (multiplicity 4)  6 S 2.64
U: 0.0000 0.5000 0.5000 (multiplicity 2)  6 S 2.70
S: 0.2437 0.0000 0.7540 (multiplicity 4)  3 Li 2.59-2.65, 2 Zr 2.64, 1 U 2.70
S: 0.2455 0.1706 0.2469 (multiplicity 8)  3 Li 2.59-2.66, 2 Zr 2.64, 1 U 2.70

Calculated values
The formation energy (no corrections) comes out at -1.47 eV per atom.

***

# 17
This record from Alexandria describes crystalline BiTeSF2 at its relaxed geometry. The functional is PBE.

Cell lengths 4.2787, 4.2787, 6.5166 Å; angles 90.00, 90.00, 90.00 degrees
Closest atoms and distances in Å follow each position.
Space group P4/mmm (No. 123)
Unique sites:
Bi: 0.0000 0.0000 0.0000 (multiplicity 1)  4 S 3.03, 2 Te 3.26
Te: 0.0000 0.0000 0.5000 (multiplicity 1)  4 F 2.14
S: 0.5000 0.5000 0.0000 (multiplicity 1)  4 Bi 3.03
F: 0.0000 0.5000 0.5000 (multiplicity 2)  2 Te 2.14

Calculated values
The formation energy (no corrections) comes out at -0.84 eV per atom.

***

# 18
This record from Alexandria describes crystalline TaV2Ni at its relaxed geometry. The functional is PBE.

Cell lengths 6.8801, 6.8801, 5.0335 Å; angles 90.00, 90.00, 90.00 degrees
Closest atoms and distances in Å follow each position.
Space group I-42d (No. 122)
Unique sites:
Ta: 0.0000 0.0000 0.0000 (multiplicity 4)  2 Ni 2.52, 4 V 2.65
V: 0.2216 0.2500 0.6250 (multiplicity 8)  2 Ni 2.38, 2 V 2.55, 2 Ta 2.65
Ni: 0.0000 0.0000 0.5000 (multiplicity 4)  4 V 2.38, 2 Ta 2.52

Calculated values
As for the formation energy: 0.393 eV/atom.

***

# 19
This record from Alexandria describes crystalline Dy2GaB2Ir5 at its relaxed geometry. The functional is PBE.

Cell lengths 9.5890, 9.5890, 3.1790 Å; angles 90.00, 90.00, 90.00 degrees
Closest atoms and distances in Å follow each position.
Space group P4/mbm (No. 127)
Unique sites:
Dy: 0.1768 0.3232 0.0000 (multiplicity 4)  3 B 2.73-2.91, 10 Ir 2.88-3.01
Ga: 0.0000 0.0000 0.0000 (multiplicity 2)  8 Ir 2.72
B: 0.1219 0.6219 0.0000 (multiplicity 4)  6 Ir 2.26-2.29
Ir: 0.0000 0.5000 0.5000 (multiplicity 2)  4 B 2.29
Ir: 0.0686 0.7806 0.5000 (multiplicity 8)  2 B 2.26

Calculated values
As for the formation energy: -0.733 eV/atom.

***

# 20
This record from Alexandria describes crystalline KAgRu2 at its relaxed geometry. The functional is PBE.

Cell lengths 12.1097, 2.7162, 4.8790 Å; angles 90.00, 111.90, 90.00 degrees
Closest atoms and distances in Å follow each position.
Space group C2/m (No. 12)
Unique sites:
K: 0.0000 0.0000 0.0000 (multiplicity 2)  2 K 2.72, 4 Ag 2.79
Ag: 0.0000 0.5000 0.5000 (multiplicity 2)  2 Ag 2.72, 4 K 2.79, 4 Ru 2.85
Ru: 0.2229 0.0000 0.7092 (multiplicity 4)  6 Ru 2.72-2.99, 2 Ag 2.85

Calculated values
As for the formation energy: 0.938 eV/atom.

***

no.,DFT total energy (eV/atom)
1,-4.706
2,-4.500
3,-8.743
4,-4.523
5,-3.618
6,-3.510
7,-6.569
8,-6.309
9,-6.908
10,-4.789
11,-2.922
12,-4.591
13,-5.933
14,-3.747
15,-6.300
16,-6.374
17,-3.817
18,-8.575
19,-7.722
20,-4.687